Record 1
Crystalline La2Sn3HgPd4 at its relaxed geometry. Source: the Alexandria database, functional GGA-PBE.

Values from the calculation:
raw total energy = -5.031 eV per atom
D(E_F) = 6.04 states/eV/f.u.
M_tot = 0.00 μB/atom
formation energy = -0.737 eV/atom
SG = P-4m2, No. 115

a b c (Å): 4.6033 4.6033 10.9189
angles (deg): 90.00 90.00 90.00
With the nearest neighbours (Å) after each atom.
Fractional positions:
La 0.5000 0.0000 0.2473  8 Pd 3.49-3.55, 6 Sn 3.52-3.59, 2 Hg 3.59
La 0.0000 0.5000 0.7527  8 Pd 3.49-3.55, 6 Sn 3.52-3.59, 2 Hg 3.59
Sn 0.0000 0.0000 0.5000  4 Pd 2.75
Sn 0.5000 0.0000 0.8751  5 Pd 2.59-2.68
Sn 0.0000 0.5000 0.1249  5 Pd 2.59-2.68
Hg 0.5000 0.5000 0.5000  4 Pd 2.75
Pd 0.5000 0.5000 0.0000  4 Sn 2.68
Pd 0.0000 0.0000 0.0000  4 Sn 2.68
Pd 0.5000 0.0000 0.6375  3 Sn 2.59-2.75, 2 Hg 2.75
Pd 0.0000 0.5000 0.3624  3 Sn 2.59-2.75, 2 Hg 2.75

---

Record 2
Crystalline LaSnHgPd at its relaxed geometry. Source: the Alexandria database, functional GGA-PBE.

Values from the calculation:
raw total energy = -4.212 eV per atom
D(E_F) = 2.60 states/eV/f.u.
M_tot = 0.00 μB/atom
formation energy = -0.606 eV/atom
SG = F-43m, No. 216

a b c (Å): 5.1343 5.1343 5.1343
angles (deg): 60.00 60.00 60.00
With the nearest neighbours (Å) after each atom.
Fractional positions:
Pd 0.5000 0.5000 0.5000  4 La 3.14, 4 Sn 3.14
Hg 0.0000 0.0000 0.0000  4 La 3.14, 4 Sn 3.14
Sn 0.2500 0.2500 0.2500  4 Hg 3.14, 4 Pd 3.14
La 0.7500 0.7500 0.7500  4 Hg 3.14, 4 Pd 3.14